Here is crystalline FeSbN2F at its relaxed geometry from the Alexandria database. Energies are from PBE+U.

Unit cell a=3.9802 b=3.9802 c=3.8890 alpha=90.00 beta=90.00 gamma=90.00
Fractional positions:
Fe 0.0000 0.0000 0.0000
Sb 0.5000 0.5000 0.5000
N 0.0000 0.5000 0.0000
N 0.5000 0.0000 0.0000
F 0.0000 0.0000 0.5000

Output
Its total energy is -5.378 eV per atom.



Here is crystalline ScFeN2F at its relaxed geometry from the Alexandria database. Energies are from PBE+U.

Unit cell a=4.1561 b=4.1561 c=3.9778 alpha=90.00 beta=90.00 gamma=90.00
Fractional positions:
Sc 0.0000 0.0000 0.0000
Fe 0.5000 0.5000 0.5000
N 0.0000 0.5000 0.0000
N 0.5000 0.0000 0.0000
F 0.0000 0.0000 0.5000

Output
Its total energy is -6.365 eV per atom.



Here is crystalline ScFeN2F at its relaxed geometry from the Alexandria database. Energies are from PBE+U.

Unit cell a=3.8547 b=3.8547 c=3.7965 alpha=90.00 beta=90.00 gamma=90.00
Fractional positions:
Sc 0.0000 0.0000 0.0000
Fe 0.5000 0.5000 0.5000
N 0.0000 0.5000 0.5000
N 0.5000 0.0000 0.5000
F 0.5000 0.5000 0.0000

Output
Its total energy is -6.634 eV per atom.



Here is crystalline FeSe2NF at its relaxed geometry from the Alexandria database. Energies are from PBE+U.

Unit cell a=4.6121 b=4.6121 c=4.0858 alpha=90.00 beta=90.00 gamma=90.00
Fractional positions:
Fe 0.0000 0.0000 0.0000
Se 0.0000 0.5000 0.5000
Se 0.5000 0.0000 0.5000
N 0.5000 0.5000 0.0000
F 0.5000 0.5000 0.5000

Output
Its total energy is -3.330 eV per atom.